No. 1
Here is Zn3CdO4 after structural relaxation from Alexandria. Energies are from PBE.

Cell lengths 3.357, 3.357, 11.048 Å; angles 90.00, 90.00, 120.00 degrees
Positions (direct):
Zn 0.000 0.000 0.000
Zn 0.000 0.000 0.473
Zn 0.667 0.333 0.237
Cd 0.667 0.333 0.741
O 0.000 0.000 0.181
O 0.000 0.000 0.652
O 0.667 0.333 0.417
O 0.667 0.333 0.944

DOS(E_F) in states/eV/cell: 0.476
Energy above the lowest structure with this stoichiometry in kJ/mol of atoms: 2.70
M_tot in μB/atom: 0.0000
Symmetry: P3m1 (156)
Electronic total energy in eV/atom: -4.36



No. 2
Here is ZnCdO after structural relaxation from Alexandria. Energies are from PBE.

Cell lengths 5.486, 3.337, 10.864 Å; angles 90.00, 101.77, 90.00 degrees
Positions (direct):
Zn 0.000 0.000 0.000
Zn 0.236 0.000 0.743
Zn 0.500 0.500 0.000
Zn 0.736 0.500 0.743
Cd 0.275 0.500 0.468
Cd 0.374 0.000 0.229
Cd 0.775 0.000 0.468
Cd 0.874 0.500 0.229
O 0.317 0.000 0.934
O 0.370 0.500 0.683
O 0.817 0.500 0.934
O 0.870 0.000 0.683

DOS(E_F) in states/eV/cell: 1.300
M_tot in μB/atom: 0.0000
Symmetry: Cm (8)
Electronic total energy in eV/atom: -3.22



No. 3
Here is Zn2Cd2O3 after structural relaxation from Alexandria. Energies are from PBE.

Cell lengths 6.094, 6.018, 6.369 Å; angles 90.00, 117.59, 90.00 degrees
Positions (direct):
Zn 0.136 0.102 0.386
Zn 0.136 0.398 0.886
Zn 0.864 0.602 0.114
Zn 0.864 0.898 0.614
Cd 0.389 0.633 0.596
Cd 0.389 0.867 0.096
Cd 0.611 0.133 0.904
Cd 0.611 0.367 0.404
O 0.005 0.713 0.903
O 0.005 0.787 0.403
O 0.500 0.000 0.500
O 0.500 0.500 0.000
O 0.995 0.213 0.597
O 0.995 0.287 0.097

DOS(E_F) in states/eV/cell: 0.233
M_tot in μB/atom: 0.0000
Symmetry: P2_1/c (14)
Electronic total energy in eV/atom: -3.71



No. 4
Here is ZnCd3O4 after structural relaxation from Alexandria. Energies are from PBE.

Cell lengths 7.146, 6.197, 5.703 Å; angles 90.00, 90.00, 90.00 degrees
Positions (direct):
Zn 0.000 0.171 0.000
Zn 0.500 0.829 0.500
Cd 0.000 0.841 0.503
Cd 0.248 0.670 0.001
Cd 0.252 0.330 0.501
Cd 0.500 0.159 0.003
Cd 0.748 0.330 0.501
Cd 0.752 0.670 0.001
O 0.000 0.173 0.649
O 0.000 0.863 0.109
O 0.233 0.323 0.107
O 0.267 0.677 0.607
O 0.500 0.137 0.609
O 0.500 0.827 0.149
O 0.733 0.677 0.607
O 0.767 0.323 0.107

DOS(E_F) in states/eV/cell: 2.363
M_tot in μB/atom: 0.0000
Symmetry: Pmn2_1 (31)
Electronic total energy in eV/atom: -4.09



No. 5
Here is Zn5Cd3O12 after structural relaxation from Alexandria. Energies are from PBE.

Cell lengths 10.917, 10.917, 10.917 Å; angles 109.47, 109.47, 109.47 degrees
Positions (direct):
Zn 0.000 0.000 0.000
Zn 0.000 0.000 0.500
Zn 0.000 0.500 0.000
Zn 0.000 0.500 0.500
Zn 0.125 0.750 0.875
Zn 0.125 0.875 0.250
Zn 0.250 0.125 0.875
Zn 0.250 0.625 0.375
Zn 0.375 0.250 0.625
Zn 0.375 0.625 0.750
Zn 0.500 0.000 0.000
Zn 0.500 0.000 0.500
Zn 0.500 0.500 0.000
Zn 0.500 0.500 0.500
Zn 0.625 0.375 0.250
Zn 0.625 0.750 0.375
Zn 0.750 0.375 0.625
Zn 0.750 0.875 0.125
Zn 0.875 0.125 0.750
Zn 0.875 0.250 0.125
Cd 0.125 0.250 0.375
Cd 0.125 0.375 0.750
Cd 0.250 0.375 0.125
Cd 0.250 0.875 0.625
Cd 0.375 0.125 0.250
Cd 0.375 0.750 0.125
Cd 0.625 0.250 0.875
Cd 0.625 0.875 0.750
Cd 0.750 0.125 0.375
Cd 0.750 0.625 0.875
Cd 0.875 0.625 0.250
Cd 0.875 0.750 0.625
O 0.032 0.206 0.127
O 0.032 0.326 0.904
O 0.078 0.706 0.674
O 0.078 0.873 0.404
O 0.096 0.627 0.422
O 0.096 0.968 0.674
O 0.127 0.032 0.206
O 0.127 0.596 0.922
O 0.174 0.206 0.578
O 0.174 0.468 0.596
O 0.206 0.127 0.032
O 0.206 0.578 0.174
O 0.294 0.326 0.922
O 0.294 0.468 0.373
O 0.326 0.904 0.032
O 0.326 0.922 0.294
O 0.373 0.294 0.468
O 0.373 0.578 0.904
O 0.404 0.078 0.873
O 0.404 0.826 0.532
O 0.422 0.096 0.627
O 0.422 0.826 0.794
O 0.468 0.373 0.294
O 0.468 0.596 0.174
O 0.532 0.404 0.826
O 0.532 0.627 0.706
O 0.578 0.174 0.206
O 0.578 0.904 0.373
O 0.596 0.174 0.468
O 0.596 0.922 0.127
O 0.627 0.422 0.096
O 0.627 0.706 0.532
O 0.674 0.078 0.706
O 0.674 0.096 0.968
O 0.706 0.532 0.627
O 0.706 0.674 0.078
O 0.794 0.422 0.826
O 0.794 0.873 0.968
O 0.826 0.532 0.404
O 0.826 0.794 0.422
O 0.873 0.404 0.078
O 0.873 0.968 0.794
O 0.904 0.032 0.326
O 0.904 0.373 0.578
O 0.922 0.127 0.596
O 0.922 0.294 0.326
O 0.968 0.674 0.096
O 0.968 0.794 0.873

DOS(E_F) in states/eV/cell: 43.697
M_tot in μB/atom: 0.4053
Symmetry: Ia-3d (230)
Electronic total energy in eV/atom: -4.07



No. 6
Here is Zn3CdO4 after structural relaxation from Alexandria. Energies are from PBE.

Cell lengths 6.761, 5.850, 5.440 Å; angles 90.00, 90.00, 90.00 degrees
Positions (direct):
Zn 0.000 0.177 0.000
Zn 0.249 0.664 0.002
Zn 0.251 0.336 0.502
Zn 0.500 0.823 0.500
Zn 0.749 0.336 0.502
Zn 0.751 0.664 0.002
Cd 0.000 0.837 0.501
Cd 0.500 0.163 0.001
O 0.000 0.197 0.631
O 0.000 0.841 0.086
O 0.233 0.345 0.134
O 0.267 0.655 0.634
O 0.500 0.159 0.586
O 0.500 0.803 0.131
O 0.733 0.655 0.634
O 0.767 0.345 0.134

DOS(E_F) in states/eV/cell: 0.078
Energy above the lowest structure with this stoichiometry in kJ/mol of atoms: 0.00
M_tot in μB/atom: 0.0000
Symmetry: Pmn2_1 (31)
Electronic total energy in eV/atom: -4.39



No. 7
Here is Zn3CdO3 after structural relaxation from Alexandria. Energies are from PBE.

Cell lengths 5.797, 5.797, 5.797 Å; angles 90.00, 90.00, 90.00 degrees
Positions (direct):
Zn 0.000 0.250 0.500
Zn 0.000 0.750 0.500
Zn 0.250 0.500 0.000
Zn 0.500 0.000 0.250
Zn 0.500 0.000 0.750
Zn 0.750 0.500 0.000
Cd 0.000 0.000 0.000
Cd 0.500 0.500 0.500
O 0.000 0.500 0.250
O 0.000 0.500 0.750
O 0.250 0.000 0.500
O 0.500 0.250 0.000
O 0.500 0.750 0.000
O 0.750 0.000 0.500

M_tot in μB/atom: 0.0000
Symmetry: Pm-3n (223)
Electronic total energy in eV/atom: -3.82



No. 8
Here is ZnCd2O after structural relaxation from Alexandria. Energies are from PBE.

Cell lengths 6.483, 6.483, 6.483 Å; angles 90.00, 90.00, 90.00 degrees
Positions (direct):
Zn 0.000 0.000 0.000
Zn 0.000 0.500 0.500
Zn 0.500 0.000 0.500
Zn 0.500 0.500 0.000
Cd 0.250 0.250 0.250
Cd 0.250 0.250 0.750
Cd 0.250 0.750 0.250
Cd 0.250 0.750 0.750
Cd 0.750 0.250 0.250
Cd 0.750 0.250 0.750
Cd 0.750 0.750 0.250
Cd 0.750 0.750 0.750
O 0.000 0.000 0.500
O 0.000 0.500 0.000
O 0.500 0.000 0.000
O 0.500 0.500 0.500

DOS(E_F) in states/eV/cell: 9.835
Energy above the lowest structure with this stoichiometry in kJ/mol of atoms: 38.39
M_tot in μB/atom: 0.0000
Symmetry: Fm-3m (225)
Electronic total energy in eV/atom: -1.91